Entry 1:
{
  "formula": "Zn2Ni2Se",
  "functional": "PBE",
  "state": "optimized geometry",
  "final_energy_ev_per_atom": -3.60,
  "cell": [[6.254, 0.000, 0.000], [0.000, 6.254, 0.000], [0.000, 0.000, 3.627]],
  "species": ["Zn", "Zn", "Zn", "Zn", "Ni", "Ni", "Ni", "Ni", "Se", "Se"],
  "fractional_positions": [[0.148, 0.352, 0.000], [0.352, 0.852, 0.000], [0.648, 0.148, 0.000], [0.852, 0.648, 0.000], [0.148, 0.648, 0.500], [0.352, 0.148, 0.500], [0.648, 0.852, 0.500], [0.852, 0.352, 0.500], [0.000, 0.000, 0.500], [0.500, 0.500, 0.500]]
}

Entry 2:
{
  "formula": "Zn2NiSe",
  "functional": "PBE",
  "state": "optimized geometry",
  "final_energy_ev_per_atom": -2.92,
  "cell": [[5.030, 0.000, 0.000], [0.000, 7.004, 0.000], [0.000, 0.000, 3.497]],
  "species": ["Zn", "Zn", "Zn", "Zn", "Ni", "Ni", "Se", "Se"],
  "fractional_positions": [[0.250, 0.250, 0.000], [0.250, 0.750, 0.000], [0.750, 0.250, 0.000], [0.750, 0.750, 0.000], [0.000, 0.000, 0.500], [0.500, 0.500, 0.500], [0.000, 0.500, 0.500], [0.500, 0.000, 0.500]]
}

Entry 3:
{
  "formula": "Zn2NiSe",
  "functional": "PBE",
  "state": "optimized geometry",
  "final_energy_ev_per_atom": -2.96,
  "cell": [[2.768, 0.000, 0.000], [0.000, 2.768, 0.000], [0.000, 0.000, 8.487]],
  "species": ["Zn", "Zn", "Ni", "Se"],
  "fractional_positions": [[0.000, 0.000, 0.186], [0.000, 0.000, 0.814], [0.500, 0.500, 0.000], [0.500, 0.500, 0.500]]
}

Entry 4:
{
  "formula": "ZnNiSe2",
  "functional": "PBE",
  "state": "optimized geometry",
  "final_energy_ev_per_atom": -3.46,
  "cell": [[3.448, 0.000, 0.000], [0.000, 7.983, 0.000], [0.000, 0.000, 6.960]],
  "species": ["Zn", "Zn", "Ni", "Ni", "Se", "Se", "Se", "Se"],
  "fractional_positions": [[0.000, 0.000, 0.000], [0.500, 0.500, 0.000], [0.000, 0.000, 0.500], [0.500, 0.500, 0.500], [0.000, 0.500, 0.269], [0.000, 0.500, 0.731], [0.500, 0.000, 0.269], [0.500, 0.000, 0.731]]
}

Entry 5:
{
  "formula": "Zn2NiSe2",
  "functional": "PBE",
  "state": "optimized geometry",
  "e_above_lowest_polymorph_ev_per_fu": 0.51,
  "final_energy_ev_per_atom": -2.78,
  "cell": [[3.775, 0.000, 0.000], [0.000, 3.775, 0.000], [0.000, 0.000, 13.264]],
  "species": ["Zn", "Zn", "Zn", "Zn", "Ni", "Ni", "Se", "Se", "Se", "Se"],
  "fractional_positions": [[0.000, 0.500, 0.250], [0.000, 0.500, 0.750], [0.500, 0.000, 0.250], [0.500, 0.000, 0.750], [0.000, 0.000, 0.000], [0.500, 0.500, 0.500], [0.000, 0.000, 0.384], [0.000, 0.000, 0.616], [0.500, 0.500, 0.116], [0.500, 0.500, 0.884]]
}

Entry 6:
{
  "formula": "ZnNiSe",
  "functional": "PBE",
  "state": "optimized geometry",
  "e_above_lowest_polymorph_ev_per_fu": 0.72,
  "final_energy_ev_per_atom": -3.46,
  "cell": [[11.068, 0.000, 0.000], [0.000, 3.187, 0.000], [0.000, 0.000, 5.525]],
  "species": ["Zn", "Zn", "Zn", "Zn", "Ni", "Ni", "Ni", "Ni", "Se", "Se", "Se", "Se"],
  "fractional_positions": [[0.151, 0.000, 0.000], [0.151, 0.500, 0.500], [0.849, 0.000, 0.000], [0.849, 0.500, 0.500], [0.000, 0.000, 0.667], [0.000, 0.500, 0.167], [0.500, 0.000, 0.676], [0.500, 0.500, 0.176], [0.356, 0.000, 0.345], [0.356, 0.500, 0.845], [0.644, 0.000, 0.345], [0.644, 0.500, 0.845]]
}